# KRu2Pt

A relaxed structure of KRu2Pt (PBE-GGA, the Alexandria database).

Electronic total energy in hartree per atom: -0.2085
ΔE to the lowest computed polymorph in eV per atom: 0.314
E_form in kJ/mol of atoms: 72
Theoretical density in g/cm³: 10.48

Lattice parameters (Å, degrees): 10.4139 10.4139 10.4139 15.37 15.37 15.37
Closest atoms and distances in Å follow each position.
Atoms (fractional coordinates):
K (0.2500, 0.2500, 0.2500)  6 K 2.79
Pt (0.7500, 0.7500, 0.7500)  6 Ru 2.74, 6 Pt 2.79
Ru (0.0116, 0.0116, 0.0116)  3 Pt 2.74, 6 Ru 2.79
Ru (0.4884, 0.4884, 0.4884)  3 Pt 2.74, 6 Ru 2.79

# ZrZnTe

A relaxed structure of ZrZnTe (PBE-GGA, the Alexandria database).

Electronic total energy in hartree per atom: -0.1590
ΔE to the lowest computed polymorph in eV per atom: 0.437
Formation energy (no corrections) in eV per atom: -0.005
Theoretical density in g/cm³: 6.08

Lattice parameters (Å, degrees): 4.7876 4.7876 4.7876 60.00 60.00 60.00
Closest atoms and distances in Å follow each position.
Atoms (fractional coordinates):
Te (0.0000, 0.0000, 0.0000)  4 Zr 2.93
Zn (0.5000, 0.5000, 0.5000)  4 Zr 2.93
Zr (0.2500, 0.2500, 0.2500)  4 Te 2.93, 4 Zn 2.93

# CrIn2Tc

A relaxed structure of CrIn2Tc (PBE-GGA, the Alexandria database).

Electronic total energy in hartree per atom: -0.2197
ΔE to the lowest computed polymorph in eV per atom: 0.197
E_form in kJ/mol of atoms: 38
Theoretical density in g/cm³: 8.68

Lattice parameters (Å, degrees): 4.2294 3.1387 5.7609 71.67 90.00 90.00
Closest atoms and distances in Å follow each position.
Atoms (fractional coordinates):
Cr (0.5000, 0.6482, 0.7236)  2 Tc 2.42
In (0.0000, 0.9401, 0.9743)  3 Tc 2.78-3.06, 4 Cr 2.87-3.08, 2 In 3.06
In (0.5000, 0.2957, 0.2756)  2 Cr 2.74-3.02, 4 Tc 2.91-3.03, 2 In 3.06
Tc (0.0000, 0.6160, 0.5266)  2 Cr 2.42

# KZr2Sb

A relaxed structure of KZr2Sb (PBE-GGA, the Alexandria database).

Electronic total energy in hartree per atom: -0.1918
Formation energy (no corrections) in eV per atom: 0.360
Theoretical density in g/cm³: 5.27

Lattice parameters (Å, degrees): 6.4572 6.4572 6.4572 143.27 137.39 57.49
Closest atoms and distances in Å follow each position.
Atoms (fractional coordinates):
K (0.4714, 0.4714, 0.0000)  6 Zr 3.23-3.47, 2 Sb 3.38
Sb (0.2330, 0.7330, 0.5000)  6 Zr 2.90-3.11
Zr (0.0506, 0.0506, 0.0000)  2 Sb 2.90, 2 Zr 3.22, 4 K 3.23
Zr (0.7451, 0.2451, 0.5000)  4 Sb 3.11, 2 Zr 3.22, 2 K 3.47

# MnHgS2N

A relaxed structure of MnHgS2N (PBE-GGA, the Alexandria database).

Electronic total energy in hartree per atom: -0.1810
ΔE to the lowest computed polymorph in eV per atom: 0.000
Formation energy (no corrections) in eV per atom: 0.284
Theoretical density in g/cm³: 6.76

Lattice parameters (Å, degrees): 4.8311 4.8311 3.5095 90.00 90.00 90.00
Closest atoms and distances in Å follow each position.
Atoms (fractional coordinates):
S (0.0000, 0.5000, 0.0000)  2 Mn 2.42
S (0.5000, 0.0000, 0.0000)  2 Mn 2.42
Mn (0.0000, 0.0000, 0.0000)  2 N 1.75
Hg (0.5000, 0.5000, 0.5000)  8 S 2.99
N (0.0000, 0.0000, 0.5000)  2 Mn 1.75

# Ac3HoTe6

A relaxed structure of Ac3HoTe6 (PBE-GGA, the Alexandria database).

Electronic total energy in hartree per atom: -0.1867
ΔE to the lowest computed polymorph in eV per atom: 0.000
Formation energy (no corrections) in eV per atom: -1.504
Theoretical density in g/cm³: 6.87

Lattice parameters (Å, degrees): 7.7485 8.6370 11.6539 90.00 92.51 90.00
Closest atoms and distances in Å follow each position.
Atoms (fractional coordinates):
Ac (0.5472, 0.8889, 0.7420)  6 Te 3.32-3.55
Ac (0.5000, 0.5000, 0.0000)  6 Te 3.26-3.28
Ac (0.4528, 0.1111, 0.2580)  6 Te 3.32-3.55
Ac (0.0472, 0.6111, 0.2420)  6 Te 3.32-3.55
Ac (0.0000, 0.0000, 0.5000)  6 Te 3.26-3.28
Ac (0.9528, 0.3889, 0.7580)  6 Te 3.32-3.55
Ho (0.5000, 0.5000, 0.5000)  6 Te 3.02-3.08
Ho (0.0000, 0.0000, 0.0000)  6 Te 3.02-3.08
Te (0.6763, 0.1732, 0.9227)  1 Ho 3.02, 2 Ac 3.28-3.36
Te (0.6564, 0.1875, 0.5719)  1 Ho 3.06, 2 Ac 3.26-3.38
Te (0.6544, 0.4507, 0.2637)  1 Ho 3.08, 3 Ac 3.28-3.36
Te (0.3456, 0.5493, 0.7363)  1 Ho 3.08, 3 Ac 3.28-3.36
Te (0.3436, 0.8125, 0.4281)  1 Ho 3.06, 2 Ac 3.26-3.38
Te (0.3237, 0.8268, 0.0773)  1 Ho 3.02, 2 Ac 3.28-3.36
Te (0.1763, 0.3268, 0.4227)  1 Ho 3.02, 2 Ac 3.28-3.36
Te (0.1564, 0.3125, 0.0719)  1 Ho 3.06, 2 Ac 3.26-3.38
Te (0.1544, 0.0493, 0.7637)  1 Ho 3.08, 3 Ac 3.28-3.36
Te (0.8456, 0.9507, 0.2363)  1 Ho 3.08, 3 Ac 3.28-3.36
Te (0.8436, 0.6875, 0.9281)  1 Ho 3.06, 2 Ac 3.26-3.38
Te (0.8237, 0.6732, 0.5773)  1 Ho 3.02, 2 Ac 3.28-3.36

# Nd2SeI

A relaxed structure of Nd2SeI (PBE-GGA, the Alexandria database).

Electronic total energy in hartree per atom: -0.1791
ΔE to the lowest computed polymorph in eV per atom: 0.112
Formation energy (no corrections) in eV per atom: -1.232
Theoretical density in g/cm³: 6.55

Lattice parameters (Å, degrees): 3.9977 7.6179 9.1529 90.02 64.12 90.02
Closest atoms and distances in Å follow each position.
Atoms (fractional coordinates):
Nd (0.8390, 0.6821, 0.2200)  4 Se 2.95-3.01, 1 I 3.30
Nd (0.8822, 0.4828, 0.6769)  1 Se 2.97, 4 I 3.24-3.32
Nd (0.0198, 0.9828, 0.5390)  1 Se 2.97, 4 I 3.24-3.32
Nd (0.0629, 0.1821, 0.9961)  4 Se 2.95-3.00, 1 I 3.30
Se (0.3801, 0.9639, 0.1789)  5 Nd 2.95-3.00
Se (0.5218, 0.4639, 0.0371)  5 Nd 2.95-3.01
I (0.2586, 0.8046, 0.8004)  6 Nd 3.24-3.58
I (0.6435, 0.3046, 0.4155)  6 Nd 3.24-3.58

# HfTl3Sn

A relaxed structure of HfTl3Sn (PBE-GGA, the Alexandria database).

Electronic total energy in hartree per atom: -0.1324
ΔE to the lowest computed polymorph in eV per atom: 0.000
E_form in kJ/mol of atoms: 59
Theoretical density in g/cm³: 8.56

Lattice parameters (Å, degrees): 5.6097 5.6097 5.6097 90.00 90.00 90.00
Closest atoms and distances in Å follow each position.
Atoms (fractional coordinates):
Tl (0.0000, 0.5000, 0.0000)  2 Hf 2.80
Tl (0.0000, 0.0000, 0.5000)  2 Hf 2.80
Tl (0.5000, 0.0000, 0.0000)  2 Hf 2.80
Hf (0.0000, 0.0000, 0.0000)  6 Tl 2.80
Sn (0.5000, 0.5000, 0.5000)  12 Tl 3.97

# KTl2RuBr8

A relaxed structure of KTl2RuBr8 (PBE-GGA, the Alexandria database).

Electronic total energy in hartree per atom: -0.1119
Formation energy (no corrections) in eV per atom: -0.671
Theoretical density in g/cm³: 4.76

Lattice parameters (Å, degrees): 6.5995 8.0758 9.0592 89.88 90.12 120.81
Closest atoms and distances in Å follow each position.
Atoms (fractional coordinates):
K (0.0000, 0.0000, 0.5000)  6 Br 3.31-3.33
Tl (0.5002, 0.5001, 0.7522)  6 Br 2.99-3.16
Tl (0.4998, 0.4999, 0.2478)  6 Br 2.99-3.16
Ru (0.0000, 0.0000, 0.0000)  6 Br 2.49-2.52
Br (0.0149, 0.7824, 0.1940)  1 Ru 2.52
Br (0.5616, 0.7972, 0.9996)  1 Ru 2.49
Br (0.9847, 0.2175, 0.1931)  1 Ru 2.52
Br (0.9851, 0.2176, 0.8060)  1 Ru 2.52
Br (0.4384, 0.2028, 0.0004)  1 Ru 2.49
Br (0.0153, 0.7825, 0.8069)  1 Ru 2.52
Br (0.4187, 0.6985, 0.4995)  2 Tl 2.99, 1 K 3.33
Br (0.5813, 0.3015, 0.5005)  2 Tl 2.99, 1 K 3.33

# Tl2Si2Bi

A relaxed structure of Tl2Si2Bi (PBE-GGA, the Alexandria database).

Electronic total energy in hartree per atom: -0.1339
ΔE to the lowest computed polymorph in eV per atom: 0.000
Formation energy (no corrections) in eV per atom: 0.247
Theoretical density in g/cm³: 8.54

Lattice parameters (Å, degrees): 3.4716 3.4716 11.1482 81.04 81.04 90.00
Closest atoms and distances in Å follow each position.
Atoms (fractional coordinates):
Tl (0.3778, 0.3778, 0.2444)  4 Si 3.28, 4 Tl 3.47, 4 Bi 3.62
Tl (0.6222, 0.6222, 0.7556)  4 Si 3.28, 4 Tl 3.47, 4 Bi 3.62
Si (0.7500, 0.2500, 0.5000)  4 Si 2.45
Si (0.2500, 0.7500, 0.5000)  4 Si 2.45
Bi (0.0000, 0.0000, 0.0000)  4 Bi 3.47, 8 Tl 3.62

# RbHg3Pt

A relaxed structure of RbHg3Pt (PBE-GGA, the Alexandria database).

Electronic total energy in hartree per atom: -0.0613
ΔE to the lowest computed polymorph in eV per atom: 0.197
E_form in kJ/mol of atoms: -8
Theoretical density in g/cm³: 10.43

Lattice parameters (Å, degrees): 14.3924 9.0009 9.0009 106.48 133.84 46.16
Closest atoms and distances in Å follow each position.
Atoms (fractional coordinates):
Rb (0.7500, 0.2259, 0.7259)  8 Hg 3.48-3.73, 2 Pt 3.59, 2 Rb 3.78
Rb (0.2500, 0.7741, 0.2741)  8 Hg 3.48-3.73, 2 Pt 3.59, 2 Rb 3.78
Rb (0.7500, 0.5946, 0.0946)  8 Hg 3.44-3.72, 2 Pt 3.74
Rb (0.2500, 0.4054, 0.9054)  8 Hg 3.44-3.72, 2 Pt 3.74
Hg (0.4018, 0.2528, 0.4249)  2 Pt 2.86-3.04, 1 Hg 3.18
Hg (0.0982, 0.9249, 0.7528)  2 Pt 2.86-3.04, 1 Hg 3.18
Hg (0.5982, 0.7472, 0.5751)  2 Pt 2.86-3.04, 1 Hg 3.18
Hg (0.9018, 0.0751, 0.2472)  2 Pt 2.86-3.04, 1 Hg 3.18
Hg (0.0852, 0.2584, 0.0732)  1 Pt 2.91, 1 Hg 3.25
Hg (0.4148, 0.5732, 0.7584)  1 Pt 2.91, 1 Hg 3.25
Hg (0.9148, 0.7416, 0.9268)  1 Pt 2.91, 1 Hg 3.25
Hg (0.5852, 0.4268, 0.2416)  1 Pt 2.91, 1 Hg 3.25
Hg (0.5902, 0.0851, 0.9250)  2 Pt 2.78-2.80
Hg (0.9098, 0.4250, 0.5851)  2 Pt 2.78-2.80
Hg (0.4098, 0.9149, 0.0750)  2 Pt 2.78-2.80
Hg (0.0902, 0.5750, 0.4149)  2 Pt 2.78-2.80
Pt (0.3118, 0.1184, 0.5466)  1 Pt 2.73, 5 Hg 2.78-3.04
Pt (0.1882, 0.0466, 0.6184)  1 Pt 2.73, 5 Hg 2.78-3.04
Pt (0.6882, 0.8816, 0.4534)  1 Pt 2.73, 5 Hg 2.78-3.04
Pt (0.8118, 0.9534, 0.3816)  1 Pt 2.73, 5 Hg 2.78-3.04

# Ho2ZrTl

A relaxed structure of Ho2ZrTl (PBE-GGA, the Alexandria database).

Electronic total energy in hartree per atom: -0.1755
ΔE to the lowest computed polymorph in eV per atom: 0.373
E_form in kJ/mol of atoms: 23
Theoretical density in g/cm³: 9.28

Lattice parameters (Å, degrees): 3.3288 3.3288 11.8172 81.90 81.90 60.00
Closest atoms and distances in Å follow each position.
Atoms (fractional coordinates):
Tl (0.5000, 0.5000, 0.5000)  6 Ho 3.30, 6 Tl 3.33
Ho (0.0899, 0.0899, 0.7304)  1 Zr 3.14, 3 Tl 3.30, 6 Ho 3.33
Ho (0.9101, 0.9101, 0.2696)  1 Zr 3.14, 3 Tl 3.30, 6 Ho 3.33
Zr (0.0000, 0.0000, 0.0000)  2 Ho 3.14, 6 Zr 3.33